Arrangement w

Compound: YBeGe2Rh
Source: Alexandria via LeMat-Bulk
Functional: PBE
Structure: optimized geometry

Cell and atoms, written as POSCAR:
```
YBeGe2Rh
1.0
-1.977 1.977 5.356
1.977 -1.977 5.356
1.977 1.977 -5.356
Y Be Ge Rh
1 1 2 1
direct
0.000 0.000 0.000 Y
0.250 0.750 0.500 Be
0.383 0.383 0.000 Ge
0.617 0.617 0.000 Ge
0.750 0.250 0.500 Rh
```

DOS at the Fermi energy	0.33	states/eV per atom



Arrangement x

Compound: YBeGe2Rh
Source: Alexandria via LeMat-Bulk
Functional: PBE
Structure: optimized geometry

Cell and atoms, written as POSCAR:
```
YBeGe2Rh
1.0
4.285 0.000 0.000
0.000 4.285 0.000
0.000 0.000 4.973
Y Be Ge Rh
1 1 2 1
direct
0.000 0.000 0.000 Y
0.000 0.000 0.500 Be
0.000 0.500 0.500 Ge
0.500 0.000 0.500 Ge
0.500 0.500 0.000 Rh
```

DOS at the Fermi energy	0.51	states/eV per atom



arrangement w is the most stable structure; the next one sits 814 meV/atom above it.